[1]
Ce3NdRh: optimized geometry, PBE.

Cell and atoms, written as extended XYZ:
```
20
Lattice="-4.437 5.381 2.111 -6.851 -5.886 0.606 5.791 1.897 7.333" Properties=species:S:1:pos:R:3 pbc="T T T"
Ce -4.040 3.307 5.046
Ce -0.050 2.929 8.192
Ce -5.447 -1.536 1.858
Ce -0.568 2.198 5.572
Ce -4.179 2.744 9.166
Ce -1.457 -1.915 5.004
Ce -1.318 -1.352 0.884
Ce 2.359 3.336 6.812
Ce -7.856 -1.943 3.239
Ce 0.899 0.646 2.462
Ce -4.929 -0.806 4.479
Ce -6.396 0.746 7.588
Nd -2.720 0.565 7.143
Nd 1.729 -0.177 5.808
Nd -7.226 1.569 4.243
Nd -2.777 0.828 2.907
Rh -2.043 -2.278 8.428
Rh -3.454 3.670 1.623
Rh -0.779 4.887 5.395
Rh -4.717 -3.495 4.656
```

N(E_F) = 2.4273 states/eV per atom
Space-group type = P2_1/c
Uncorrected energy = -6.176 eV per atom
DFT formation energy = -1.0 eV per formula unit
Theoretical density = 8.360 Mg/m³
Total moment = 0.05 μB/f.u.

***

[2]
Zr2ScFe: optimized geometry, PBE.

Cell and atoms, written as extended XYZ:
```
4
Lattice="5.746 0.000 0.007 4.821 3.126 0.007 2.031 0.601 4.350" Properties=species:S:1:pos:R:3 pbc="T T T"
Zr 9.831 2.908 3.079
Zr 2.042 0.604 4.345
Fe 6.270 1.855 2.195
Sc 2.784 0.823 1.277
```

Distance to the lowest polymorph of the same formula = 29 meV per atom
N(E_F) = 0.5201 states/eV per atom
Space-group type = Imm2
Uncorrected energy = -8.043 eV per atom
DFT formation energy = -0.3 eV per formula unit
Theoretical density = 6.023 Mg/m³
Total moment = 0.00 μB/f.u.

***

Question: Which of these has the lowest theoretical density?
Answer: Zr2ScFe